Record 1
! NaH3Pd (PBE-GGA, optimized geometry); values from VASP
&SYSTEM
  ibrav = 0, nat = 10, ntyp = 3
/
ATOMIC_SPECIES
Na 22.99 Na.upf
H 1.01 H.upf
Pd 106.42 Pd.upf
ATOMIC_POSITIONS crystal
Na 0.0000 0.0000 0.0000
Na 0.3697 0.3406 0.6138
H 0.0978 0.6773 0.3491
H 0.2684 0.6707 0.2698
H 0.5611 0.9106 0.3251
H 0.5642 0.9122 0.8346
H 0.8042 0.4287 0.7800
H 0.8096 0.4302 0.2885
Pd 0.6758 0.6583 0.0618
Pd 0.6937 0.6826 0.5525
CELL_PARAMETERS angstrom
5.4060 0.0000 0.0000
2.6526 4.7441 0.0000
2.2684 -0.5446 4.9547
! **Uncorrected energy**: -3.494 eV/atom
! **D(E_F)**: 0.11 states/eV per atom

Record 2
! La2ScAg2 (PBE-GGA, optimized geometry); values from VASP
&SYSTEM
  ibrav = 0, nat = 5, ntyp = 3
/
ATOMIC_SPECIES
La 138.91 La.upf
Sc 44.96 Sc.upf
Ag 107.87 Ag.upf
ATOMIC_POSITIONS crystal
La 0.1120 0.1120 0.0000
La 0.8880 0.8880 0.0000
Sc 0.5000 0.5000 0.0000
Ag 0.2500 0.7500 0.5000
Ag 0.7500 0.2500 0.5000
CELL_PARAMETERS angstrom
-1.9397 1.9397 9.7299
1.9397 -1.9397 9.7299
1.9397 1.9397 -9.7299
! **D(E_F)**: 1.73 states/eV per atom
! **Calculated formation energy**: 47 kJ/mol of formula units

Record 3
! Ba2TlBiS4 (PBE-GGA, optimized geometry); values from VASP
&SYSTEM
  ibrav = 0, nat = 16, ntyp = 4
/
ATOMIC_SPECIES
Ba 137.33 Ba.upf
Tl 204.38 Tl.upf
Bi 208.98 Bi.upf
S 32.06 S.upf
ATOMIC_POSITIONS crystal
Ba 0.0000 0.0000 0.0000
Ba 0.5000 0.0000 0.0000
Ba 0.5000 0.0000 0.5000
Ba 0.5000 0.5000 0.5000
Tl 0.0000 0.5000 0.5000
Tl 0.5000 0.5000 0.0000
Bi 0.0000 0.0000 0.5000
Bi 0.0000 0.5000 0.0000
S 0.2262 0.2478 0.9784
S 0.2306 0.7522 0.4784
S 0.2328 0.2260 0.4932
S 0.2328 0.7395 0.0068
S 0.7672 0.2605 0.9932
S 0.7672 0.7740 0.5068
S 0.7694 0.2478 0.5216
S 0.7738 0.7522 0.0216
CELL_PARAMETERS angstrom
-4.4091 4.4422 6.2217
4.4091 -4.4422 6.2217
4.4091 4.4422 -6.2217
! **Raw formation energy**: -1.141 eV/atom

Record 4
! Pm3Ni3Pb (PBE-GGA, optimized geometry); values from VASP
&SYSTEM
  ibrav = 0, nat = 14, ntyp = 3
/
ATOMIC_SPECIES
Pm 145.00 Pm.upf
Ni 58.69 Ni.upf
Pb 207.20 Pb.upf
ATOMIC_POSITIONS crystal
Pm 0.0361 0.3139 0.2500
Pm 0.2778 0.9639 0.2500
Pm 0.3139 0.2778 0.7500
Pm 0.6861 0.7222 0.2500
Pm 0.7222 0.0361 0.7500
Pm 0.9639 0.6861 0.7500
Ni 0.0111 0.3883 0.7500
Ni 0.3773 0.9889 0.7500
Ni 0.3883 0.3773 0.2500
Ni 0.6117 0.6227 0.7500
Ni 0.6227 0.0111 0.2500
Ni 0.9889 0.6117 0.2500
Pb 0.3333 0.6667 0.7500
Pb 0.6667 0.3333 0.2500
CELL_PARAMETERS angstrom
8.7269 0.0000 0.0000
-4.3635 7.5577 0.0000
0.0000 0.0000 5.2581
! **D(E_F)**: 0.88 states/eV per atom
! **Calculated formation energy**: -51 kJ/mol of formula units

Record 5
! CaSm4Cd5 (PBE-GGA, optimized geometry); values from VASP
&SYSTEM
  ibrav = 0, nat = 10, ntyp = 3
/
ATOMIC_SPECIES
Ca 40.08 Ca.upf
Sm 150.36 Sm.upf
Cd 112.41 Cd.upf
ATOMIC_POSITIONS crystal
Ca 0.0000 0.0000 0.0000
Sm 0.0000 0.0000 0.2018
Sm 0.0000 0.0000 0.4001
Sm 0.0000 0.0000 0.5999
Sm 0.0000 0.0000 0.7982
Cd 0.5000 0.5000 0.1035
Cd 0.5000 0.5000 0.3013
Cd 0.5000 0.5000 0.5000
Cd 0.5000 0.5000 0.6987
Cd 0.5000 0.5000 0.8965
CELL_PARAMETERS angstrom
3.8037 0.0000 0.0000
0.0000 3.8037 0.0000
0.0000 0.0000 19.2763
! **D(E_F)**: 1.13 states/eV per atom
! **Calculated formation energy**: -317 kJ/mol of formula units

Record 6
! GdMgOs (PBE-GGA, optimized geometry); values from VASP
&SYSTEM
  ibrav = 0, nat = 3, ntyp = 3
/
ATOMIC_SPECIES
Gd 157.25 Gd.upf
Mg 24.30 Mg.upf
Os 190.23 Os.upf
ATOMIC_POSITIONS crystal
Gd 0.0000 0.0000 0.0000
Mg 0.7283 0.7283 0.0000
Os 0.3531 0.3531 0.0000
CELL_PARAMETERS angstrom
-1.6984 1.6984 5.5539
1.6984 -1.6984 5.5539
1.6984 1.6984 -5.5539
! **D(E_F)**: 0.64 states/eV per atom
! **Calculated formation energy**: 14 kJ/mol of formula units